This record from Alexandria describes a relaxed structure of CsNaGeTe2. The functional is PBE.

Cell: 7.445 6.015 9.245 Å, 108.99 90.00 90.00°
Positions (direct):
Ge: 0.000 0.500 0.000
Ge: 0.000 0.000 0.000
Te: 0.258 0.384 0.768
Te: 0.742 0.884 0.768
Te: 0.258 0.116 0.232
Te: 0.742 0.616 0.232
Cs: 0.235 0.750 0.500
Cs: 0.765 0.250 0.500
Na: 0.500 0.250 0.000
Na: 0.500 0.750 0.000

Summary:
M_tot = 0.0 μB per cell
Formation energy (no corrections) = -0.395 eV per atom